Entry 1:
The following is a DFT calculation (PBEsol) of an optimized crystal structure of LaZnCo2.

POSCAR file:
```
LaZnCo2
1.0
3.0014 0.0000 0.0000
0.0000 3.0014 0.0000
0.0000 0.0000 7.0688
La Zn Co
1 1 2
Direct
0.0000 0.0000 0.0000
0.5000 0.5000 0.3421
0.0000 0.0000 0.5428
0.5000 0.5000 0.6959
```

SG = P4mm (99)
magnetization = 2.9 μB per cell
formation energy = 0.36 eV per formula unit

=====

Entry 2:
The following is a DFT calculation (PBEsol) of an optimized crystal structure of La2ZnCo2.

POSCAR file:
```
La2ZnCo2
1.0
6.9877 0.0000 0.0000
0.0000 6.9877 0.0000
0.0000 0.0000 3.9803
La Zn Co
4 2 4
Direct
0.1852 0.3148 0.0000
0.3148 0.8148 0.0000
0.6852 0.1852 0.0000
0.8148 0.6852 0.0000
0.0000 0.0000 0.5000
0.5000 0.5000 0.5000
0.1149 0.6149 0.5000
0.3851 0.1149 0.5000
0.6149 0.8851 0.5000
0.8851 0.3851 0.5000
```

SG = P4/mbm (127)
magnetization = 0.0 μB per cell
formation energy = -0.42 eV per formula unit

=====

Entry 3:
The following is a DFT calculation (PBEsol) of an optimized crystal structure of LiCo3.

POSCAR file:
```
LiCo3
1.0
4.3849 0.0000 0.0000
0.0000 4.3849 0.0000
0.0000 0.0000 4.3849
Li Co
2 6
Direct
0.0000 0.0000 0.0000
0.5000 0.5000 0.5000
0.0000 0.2500 0.5000
0.0000 0.7500 0.5000
0.2500 0.5000 0.0000
0.5000 0.0000 0.2500
0.5000 0.0000 0.7500
0.7500 0.5000 0.0000
```

SG = Pm-3n (223)
magnetization = 9.8 μB per cell
formation energy = 1.02 eV per formula unit